[1]
{
  "formula": "Co2BPdO",
  "functional": "PBE+U",
  "state": "relaxed",
  "vol_a3_per_atom": 12.30,
  "energy_ev_per_atom": -4.80,
  "dos_ef_per_ev_cell": 2.4,
  "lattice_angstrom": [[3.894, 0.000, 0.000], [0.000, 3.894, 0.000], [0.000, 0.000, 4.056]],
  "species": ["Co", "Co", "B", "Pd", "O"],
  "frac_coords": [[0.000, 0.500, 0.000], [0.500, 0.000, 0.000], [0.000, 0.000, 0.000], [0.000, 0.000, 0.500], [0.500, 0.500, 0.500]]
}

=====

[2]
{
  "formula": "NpAlCoO6",
  "functional": "PBE+U",
  "state": "relaxed",
  "vol_a3_per_atom": 11.30,
  "energy_ev_per_atom": -7.86,
  "dos_ef_per_ev_cell": 15.0,
  "lattice_angstrom": [[5.152, 0.000, 0.000], [-2.576, 4.462, 0.000], [0.000, 0.000, 8.847]],
  "species": ["Np", "Np", "Al", "Al", "Co", "Co", "O", "O", "O", "O", "O", "O", "O", "O", "O", "O", "O", "O"],
  "frac_coords": [[0.333, 0.667, 0.250], [0.667, 0.333, 0.750], [0.333, 0.667, 0.750], [0.667, 0.333, 0.250], [0.000, 0.000, 0.000], [0.000, 0.000, 0.500], [0.017, 0.351, 0.633], [0.017, 0.666, 0.867], [0.334, 0.351, 0.867], [0.334, 0.983, 0.633], [0.351, 0.017, 0.133], [0.351, 0.334, 0.367], [0.649, 0.666, 0.633], [0.649, 0.983, 0.867], [0.666, 0.017, 0.367], [0.666, 0.649, 0.133], [0.983, 0.334, 0.133], [0.983, 0.649, 0.367]]
}